1.
LiGa2BPb | SCAN | PBEsol geometry

Unit cell a=5.3062 b=5.3062 c=5.0373 alpha=90.00 beta=90.00 gamma=90.00
Atoms (fractional coordinates):
Li: 0.0000 0.0000 0.0000
Ga: 0.0000 0.5000 0.5000
Ga: 0.5000 0.0000 0.5000
B: 0.5000 0.5000 0.0000
Pb: 0.0000 0.0000 0.5000

Results
mass density	4.27	g/cm3
crystal system	tetragonal
E_form	1.36	eV per atom

---

2.
MgGaBO4 | SCAN | PBEsol geometry

Unit cell a=9.2613 b=3.0698 c=9.3128 alpha=90.00 beta=90.00 gamma=90.00
Atoms (fractional coordinates):
Mg: 0.1035 0.2500 0.1842
Mg: 0.3965 0.7500 0.6842
Mg: 0.6035 0.2500 0.3158
Mg: 0.8965 0.7500 0.8158
Ga: 0.1151 0.2500 0.5681
Ga: 0.3849 0.7500 0.0681
Ga: 0.6151 0.2500 0.9319
Ga: 0.8849 0.7500 0.4319
B: 0.1663 0.2500 0.8702
B: 0.3337 0.7500 0.3702
B: 0.6663 0.2500 0.6298
B: 0.8337 0.7500 0.1298
O: 0.0083 0.2500 0.3844
O: 0.0218 0.2500 0.8708
O: 0.2426 0.2500 0.7398
O: 0.2443 0.2500 0.0003
O: 0.2557 0.7500 0.5003
O: 0.2574 0.7500 0.2398
O: 0.4782 0.7500 0.3708
O: 0.4917 0.7500 0.8844
O: 0.5083 0.2500 0.1156
O: 0.5218 0.2500 0.6292
O: 0.7426 0.2500 0.7602
O: 0.7443 0.2500 0.4997
O: 0.7557 0.7500 0.9997
O: 0.7574 0.7500 0.2602
O: 0.9782 0.7500 0.1292
O: 0.9917 0.7500 0.6156

Results
E_form (uncorrected)	-2599	meV/atom
mass density	4.24	g/cm3
crystal system	orthorhombic

---

3.
GaBN2O | SCAN | PBEsol geometry

Unit cell a=2.9914 b=2.9914 c=5.4531 alpha=90.00 beta=90.00 gamma=90.00
Atoms (fractional coordinates):
Ga: 0.0000 0.0000 0.0000
B: 0.5000 0.5000 0.5000
N: 0.0000 0.5000 0.5000
N: 0.5000 0.0000 0.5000
O: 0.5000 0.5000 0.0000

Results
E_form (uncorrected)	386	meV/atom
mass density	4.24	g/cm3
crystal system	tetragonal

---

4.
GaBOsN2 | SCAN | PBEsol geometry

Unit cell a=3.6958 b=3.6958 c=5.3050 alpha=90.00 beta=90.00 gamma=90.00
Atoms (fractional coordinates):
Ga: 0.0000 0.0000 0.0000
B: 0.5000 0.5000 0.0000
Os: 0.0000 0.0000 0.5000
N: 0.0000 0.5000 0.5000
N: 0.5000 0.0000 0.5000

Results
E_form (uncorrected)	1293	meV/atom
mass density	6.85	g/cm3
crystal system	tetragonal

---

5.
Na3GaB4O9 | SCAN | PBEsol geometry

Unit cell a=6.2477 b=8.7084 c=6.8226 alpha=90.00 beta=99.08 gamma=90.00
Atoms (fractional coordinates):
Na: 0.0774 0.2500 0.0051
Na: 0.2475 0.5337 0.3241
Na: 0.2475 0.9663 0.3241
Na: 0.7525 0.0337 0.6759
Na: 0.7525 0.4663 0.6759
Na: 0.9226 0.7500 0.9949
Ga: 0.2939 0.2500 0.6353
Ga: 0.7061 0.7500 0.3647
B: 0.2547 0.5445 0.7811
B: 0.2547 0.9555 0.7811
B: 0.3772 0.7500 0.0272
B: 0.4851 0.2500 0.2811
B: 0.5149 0.7500 0.7189
B: 0.6228 0.2500 0.9728
B: 0.7453 0.0445 0.2189
B: 0.7453 0.4555 0.2189
O: 0.1375 0.0871 0.7215
O: 0.1375 0.4129 0.7215
O: 0.2350 0.6110 0.9607
O: 0.2350 0.8890 0.9607
O: 0.2837 0.2500 0.3650
O: 0.3835 0.6082 0.6548
O: 0.3835 0.8918 0.6548
O: 0.4241 0.7500 0.2406
O: 0.4336 0.2500 0.0671
O: 0.5664 0.7500 0.9329
O: 0.5759 0.2500 0.7594
O: 0.6165 0.1082 0.3452
O: 0.6165 0.3918 0.3452
O: 0.7163 0.7500 0.6350
O: 0.7650 0.1110 0.0393
O: 0.7650 0.3890 0.0393
O: 0.8625 0.5871 0.2785
O: 0.8625 0.9129 0.2785

Results
E_form (uncorrected)	-2474	meV/atom
mass density	2.95	g/cm3
crystal system	monoclinic

---

6.
NaGa2BSb | SCAN | PBEsol geometry

Unit cell a=5.4360 b=5.4360 c=4.4601 alpha=90.00 beta=90.00 gamma=90.00
Atoms (fractional coordinates):
Na: 0.0000 0.0000 0.0000
Ga: 0.0000 0.5000 0.5000
Ga: 0.5000 0.0000 0.5000
B: 0.5000 0.5000 0.0000
Sb: 0.5000 0.5000 0.5000

Results
E_form (uncorrected)	963	meV/atom
mass density	3.72	g/cm3
crystal system	tetragonal

---

7.
NbGa3B | SCAN | PBEsol geometry

Unit cell a=4.9572 b=4.9572 c=4.9572 alpha=90.00 beta=90.00 gamma=90.00
Atoms (fractional coordinates):
Nb: 0.0000 0.0000 0.0000
Ga: 0.0000 0.0000 0.5000
Ga: 0.0000 0.5000 0.0000
Ga: 0.5000 0.0000 0.0000
B: 0.5000 0.5000 0.5000

Results
mass density	4.27	g/cm3
crystal system	cubic
E_form	1.42	eV per atom

---

8.
NbGaBSe2 | SCAN | PBEsol geometry

Unit cell a=5.0207 b=5.0207 c=3.7755 alpha=90.00 beta=90.00 gamma=90.00
Atoms (fractional coordinates):
Nb: 0.0000 0.0000 0.0000
Ga: 0.5000 0.5000 0.5000
B: 0.5000 0.5000 0.0000
Se: 0.0000 0.5000 0.5000
Se: 0.5000 0.0000 0.5000

Results
E_form (uncorrected)	796	meV/atom
mass density	5.78	g/cm3
crystal system	tetragonal

---

- The highest mass density belongs to which entry?
  GaBOsN2